1.
DFT (GGA-PBE) results for a relaxed structure of CeTlPdRh.

Cell: 6.8754 6.8754 6.8754 Å, 90.00 90.00 90.00°
Closest atoms and distances in Å follow each position.
Atoms (fractional coordinates):
Ce 0.0000 0.0000 0.0000  4 Rh 2.98, 4 Pd 2.98
Ce 0.0000 0.5000 0.5000  4 Rh 2.98, 4 Pd 2.98
Ce 0.5000 0.0000 0.5000  4 Rh 2.98, 4 Pd 2.98
Ce 0.5000 0.5000 0.0000  4 Rh 2.98, 4 Pd 2.98
Tl 0.0000 0.0000 0.5000  4 Rh 2.98, 4 Pd 2.98
Tl 0.0000 0.5000 0.0000  4 Rh 2.98, 4 Pd 2.98
Tl 0.5000 0.0000 0.0000  4 Rh 2.98, 4 Pd 2.98
Tl 0.5000 0.5000 0.5000  4 Rh 2.98, 4 Pd 2.98
Pd 0.2500 0.2500 0.7500  4 Tl 2.98, 4 Ce 2.98
Pd 0.2500 0.7500 0.2500  4 Tl 2.98, 4 Ce 2.98
Pd 0.7500 0.2500 0.2500  4 Tl 2.98, 4 Ce 2.98
Pd 0.7500 0.7500 0.7500  4 Tl 2.98, 4 Ce 2.98
Rh 0.2500 0.2500 0.2500  4 Tl 2.98, 4 Ce 2.98
Rh 0.2500 0.7500 0.7500  4 Tl 2.98, 4 Ce 2.98
Rh 0.7500 0.2500 0.7500  4 Tl 2.98, 4 Ce 2.98
Rh 0.7500 0.7500 0.2500  4 Tl 2.98, 4 Ce 2.98

Computed properties:
SG: F-43m (216)
VASP energy: -91.2 eV/cell
Formation enthalpy at 0 K: -0.49 eV/atom

2.
DFT (GGA-PBE) results for a relaxed structure of YZrTc.

Cell: 4.6449 4.6449 3.4290 Å, 90.00 90.00 120.00°
Closest atoms and distances in Å follow each position.
Atoms (fractional coordinates):
Y 0.0000 0.0000 0.0000  3 Tc 2.92, 3 Zr 3.08
Zr 0.3333 0.6667 0.4396  3 Tc 2.79, 3 Y 3.08
Tc 0.6667 0.3333 0.6604  3 Zr 2.79, 3 Y 2.92

Computed properties:
SG: P3m1 (156)
VASP energy: -25.3 eV/cell
Relative energy among the computed polymorphs: 157 meV/atom
Formation enthalpy at 0 K: 0.03 eV/atom

3.
DFT (GGA-PBE) results for a relaxed structure of Pm2CoSi3Pt4.

Cell: 4.2427 4.2427 9.9048 Å, 90.00 90.00 90.00°
Closest atoms and distances in Å follow each position.
Atoms (fractional coordinates):
Pm 0.0000 0.5000 0.2427  2 Co 3.21, 6 Si 3.21-3.25, 8 Pt 3.21-3.32
Pm 0.5000 0.0000 0.7573  2 Co 3.21, 6 Si 3.21-3.25, 8 Pt 3.21-3.32
Co 0.5000 0.5000 0.0000  4 Pt 2.47
Si 0.0000 0.0000 0.0000  4 Pt 2.47
Si 0.0000 0.5000 0.6315  5 Pt 2.38-2.49
Si 0.5000 0.0000 0.3685  5 Pt 2.38-2.49
Pt 0.0000 0.0000 0.5000  4 Si 2.49
Pt 0.0000 0.5000 0.8717  3 Si 2.38-2.47, 2 Co 2.47
Pt 0.5000 0.0000 0.1283  3 Si 2.38-2.47, 2 Co 2.47
Pt 0.5000 0.5000 0.5000  4 Si 2.49

Computed properties:
SG: P-4m2 (115)
VASP energy: -66.7 eV/cell
Formation energy without anion corrections: -964 meV/atom

4.
DFT (GGA-PBE) results for a relaxed structure of La2SiBiBr.

Cell: 6.2074 6.2074 5.1235 Å, 90.00 90.00 90.00°
Closest atoms and distances in Å follow each position.
Atoms (fractional coordinates):
La 0.0000 0.5000 0.0000  2 Bi 3.10
La 0.5000 0.0000 0.0000  2 Bi 3.10
Si 0.0000 0.0000 0.5000  2 Bi 2.56
Bi 0.0000 0.0000 0.0000  2 Si 2.56
Br 0.5000 0.5000 0.5000  8 La 4.02, 4 Si 4.39

Computed properties:
SG: P4/mmm (123)
VASP energy: -20.5 eV/cell
Formation energy without anion corrections: 69 meV/atom

5.
DFT (GGA-PBE) results for a relaxed structure of Ca2FeRe.

Cell: 3.0258 3.0258 30.0437 Å, 90.00 90.00 120.00°
Closest atoms and distances in Å follow each position.
Atoms (fractional coordinates):
Ca 0.0000 0.0000 0.2487  3 Fe 3.02, 6 Ca 3.03, 3 Re 3.09
Ca 0.0000 0.0000 0.7513  3 Fe 3.02, 6 Ca 3.03, 3 Re 3.09
Ca 0.3333 0.6667 0.4180  3 Fe 3.02, 6 Ca 3.03, 3 Re 3.09
Ca 0.3333 0.6667 0.9153  3 Fe 3.02, 6 Ca 3.03, 3 Re 3.09
Ca 0.6667 0.3333 0.0847  3 Fe 3.02, 6 Ca 3.03, 3 Re 3.09
Ca 0.6667 0.3333 0.5820  3 Fe 3.02, 6 Ca 3.03, 3 Re 3.09
Fe 0.0000 0.0000 0.5000  6 Ca 3.02, 6 Fe 3.03
Fe 0.3333 0.6667 0.1667  6 Ca 3.02, 6 Fe 3.03
Fe 0.6667 0.3333 0.8333  6 Ca 3.02, 6 Fe 3.03
Re 0.0000 0.0000 0.0000  6 Re 3.03, 6 Ca 3.09
Re 0.3333 0.6667 0.6667  6 Re 3.03, 6 Ca 3.09
Re 0.6667 0.3333 0.3333  6 Re 3.03, 6 Ca 3.09

Computed properties:
SG: R-3m (166)
VASP energy: -63.5 eV/cell
Relative energy among the computed polymorphs: 552 meV/atom
Formation enthalpy at 0 K: 0.94 eV/atom

6.
DFT (GGA-PBE) results for a relaxed structure of BeZnCl2.

Cell: 5.5961 3.2268 10.0137 Å, 90.00 98.78 90.00°
Closest atoms and distances in Å follow each position.
Atoms (fractional coordinates):
Be 0.0000 0.0000 0.0000  6 Cl 2.25-2.26
Be 0.5000 0.5000 0.0000  6 Cl 2.25-2.26
Zn 0.0000 0.5000 0.5000  6 Zn 3.23
Zn 0.5000 0.0000 0.5000  6 Zn 3.23
Cl 0.2012 0.5000 0.1278  3 Be 2.25-2.26
Cl 0.2988 0.0000 0.8722  3 Be 2.25-2.26
Cl 0.7012 0.0000 0.1278  3 Be 2.25-2.26
Cl 0.7988 0.5000 0.8722  3 Be 2.25-2.26

Computed properties:
SG: C2/m (12)
VASP energy: -22.6 eV/cell
Relative energy among the computed polymorphs: 6 meV/atom
Formation energy without anion corrections: -654 meV/atom

7.
DFT (GGA-PBE) results for a relaxed structure of CsNaCl.

Cell: 4.5366 4.5366 7.7951 Å, 90.00 90.00 120.00°
Closest atoms and distances in Å follow each position.
Atoms (fractional coordinates):
Cs 0.0000 0.0000 0.0000  3 Cl 3.47
Na 0.3333 0.6667 0.5175  3 Cl 3.01
Cl 0.6667 0.3333 0.7081  3 Na 3.01

Computed properties:
SG: P3m1 (156)
VASP energy: -7.3 eV/cell
Relative energy among the computed polymorphs: 143 meV/atom
Formation energy without anion corrections: -1102 meV/atom

8.
DFT (GGA-PBE) results for a relaxed structure of Tb2GaNi4Ge3.

Cell: 4.0714 4.0714 9.7739 Å, 90.00 90.00 90.00°
Closest atoms and distances in Å follow each position.
Atoms (fractional coordinates):
Tb 0.0000 0.5000 0.2486  8 Ni 3.10-3.17, 6 Ge 3.11-3.19, 2 Ga 3.19
Tb 0.5000 0.0000 0.7514  8 Ni 3.10-3.17, 6 Ge 3.11-3.19, 2 Ga 3.19
Ga 0.0000 0.0000 0.5000  4 Ni 2.41
Ni 0.0000 0.0000 0.0000  4 Ge 2.39
Ni 0.0000 0.5000 0.6326  3 Ge 2.34-2.41, 2 Ga 2.41
Ni 0.5000 0.0000 0.3674  3 Ge 2.34-2.41, 2 Ga 2.41
Ni 0.5000 0.5000 0.0000  4 Ge 2.39
Ge 0.0000 0.5000 0.8717  5 Ni 2.34-2.39
Ge 0.5000 0.0000 0.1283  5 Ni 2.34-2.39
Ge 0.5000 0.5000 0.5000  4 Ni 2.41

Computed properties:
SG: P-4m2 (115)
VASP energy: -56.2 eV/cell
Formation enthalpy at 0 K: -0.70 eV/atom